Entry 1:
Entry from Alexandria: PmTlGeAu after structural relaxation (PBE).

a = 5.1297 Å, b = 5.1297 Å, c = 5.1297 Å
α = 60.00°, β = 60.00°, γ = 60.00°
Positions (direct):
Tl 0.5000 0.5000 0.5000
Pm 0.0000 0.0000 0.0000
Ge 0.2500 0.2500 0.2500
Au 0.7500 0.7500 0.7500

Computed properties:
The crystal system is cubic. The symmetry is No. 216. Its total DFT energy (no corrections) is -4.09 eV/atom. The calculation puts the calculated formation energy at -1.35 eV/f.u. The calculation puts the theoretical density at 10.769 Mg/m³. For the spin magnetization, the calculation gives 0.00 μB per formula unit.

=====

Entry 2:
Entry from Alexandria: PmYGeAu after structural relaxation (PBE).

a = 5.1501 Å, b = 5.1501 Å, c = 5.1501 Å
α = 60.00°, β = 60.00°, γ = 60.00°
Last column: magnetic moment on the atom in μB.
Positions (direct):
Au 0.7500 0.7500 0.7500  0.04
Y 0.5000 0.5000 0.5000  0.19
Ge 0.2500 0.2500 0.2500  -0.02
Pm 0.0000 0.0000 0.0000  0.18

Computed properties:
The crystal system is cubic. The symmetry is No. 216. Its total DFT energy (no corrections) is -5.52 eV/atom. The calculation puts the calculated formation energy at -2.98 eV/f.u. The calculation puts the energy above the most stable polymorph in this dataset at 94.8 meV per atom. The calculation puts the theoretical density at 8.656 Mg/m³. For the spin magnetization, the calculation gives 0.67 μB per formula unit.

=====

Entry 3:
Entry from Alexandria: PmYGeAu after structural relaxation (PBE).

a = 4.1034 Å, b = 4.3617 Å, c = 5.9415 Å
α = 90.00°, β = 110.20°, γ = 90.00°
Positions (direct):
Y 0.1364 0.0000 0.2728
Ge 0.5868 0.5000 0.1735
Pm 0.8582 0.5000 0.7164
Au 0.4186 0.0000 0.8372

Computed properties:
The crystal system is orthorhombic. The symmetry is No. 38. Its total DFT energy (no corrections) is -5.62 eV/atom. The calculation puts the calculated formation energy at -3.36 eV/f.u. The calculation puts the energy above the most stable polymorph in this dataset at 0.0 meV per atom. The calculation puts the theoretical density at 8.378 Mg/m³. For the spin magnetization, the calculation gives 0.00 μB per formula unit.

=====

Entry 4:
Entry from Alexandria: Pm2ZnGe3Au4 after structural relaxation (PBE).

a = 4.3421 Å, b = 4.3421 Å, c = 10.9527 Å
α = 90.00°, β = 90.00°, γ = 90.00°
Positions (direct):
Au 0.5000 0.0000 0.6329
Au 0.0000 0.5000 0.3671
Au 0.5000 0.5000 0.0000
Au 0.0000 0.0000 0.0000
Pm 0.5000 0.0000 0.2392
Pm 0.0000 0.5000 0.7608
Ge 0.0000 0.5000 0.1396
Ge 0.0000 0.0000 0.5000
Ge 0.5000 0.0000 0.8604
Zn 0.5000 0.5000 0.5000

Computed properties:
The crystal system is tetragonal. The symmetry is No. 115. Its total DFT energy (no corrections) is -4.34 eV/atom. The calculation puts the calculated formation energy at -5.61 eV/f.u. The calculation puts the theoretical density at 10.946 Mg/m³. For the spin magnetization, the calculation gives 0.00 μB per formula unit.